Here is HfVOF2 after structural relaxation from the Alexandria database. Energies are from GGA+U.

Energy in eV/cell: -35.84
V in Å³ per cell: 74.4
E above lowest polymorph in meV per atom: 0

Cell lengths 4.269, 4.269, 4.083 Å; angles 90.00, 90.00, 90.00 degrees
Space group P4/mmm (No. 123)
One atom of each set of equivalent atoms:
Hf 0.000 0.000 0.000 x1
V 0.500 0.500 0.500 x1
O 0.000 0.000 0.500 x1
F 0.000 0.500 0.000 x2